First-principles (PBE-GGA) data for a relaxed YAlTl2 crystal, as listed in Alexandria.

The value obtained for the excess energy over the best structure of this formula in the dataset is 0 meV/atom. Its symmetry is No. 123. For the formation enthalpy at 0 K, the calculation gives -0.2106 eV/atom.

Lattice parameters (Å, degrees): 4.6296 4.6273 4.6140 90.00 90.00 90.00
Positions (direct):
Y (0.5000, 0.0000, 0.5000)
Tl (0.0000, 0.0000, 0.0000)
Tl (0.5000, 0.5000, 0.0000)
Al (0.0000, 0.5000, 0.5000)